1.
Here is a relaxed structure of ZrInPtRh from Alexandria. Energies are from PBE-GGA.

* E_tot: -0.510 Ry per atom

Lattice parameters (Å, degrees): 4.2783 4.2780 4.9041 115.88 115.86 90.00
Fractional coordinates of all 4 atoms:
Zr  0.2500  0.7500  0.5000
In  0.7500  0.2500  0.5000
Pt  0.5000  0.5000  0.0000
Rh  0.0000  0.9999  0.0000


2.
Here is a relaxed structure of ZrInPt2Rh from Alexandria. Energies are from PBE-GGA.

* E_tot: -0.411 Ry per atom

Lattice parameters (Å, degrees): 5.0414 4.7640 5.0414 90.00 90.00 90.00
Fractional coordinates of all 5 atoms:
Rh  0.0000  0.5000  0.0000
Zr  0.0000  0.0000  0.0000
Pt  0.0000  0.0000  0.5000
Pt  0.5000  0.0000  0.0000
In  0.5000  0.5000  0.5000


3.
Here is a relaxed structure of In4RuPt from Alexandria. Energies are from PBE-GGA.

* E_tot: -0.269 Ry per atom

Lattice parameters (Å, degrees): 5.6179 5.6179 5.6179 60.00 60.00 60.00
Fractional coordinates of all 6 atoms:
In  0.8751  0.3750  0.3750
In  0.3750  0.3750  0.8751
In  0.3750  0.8751  0.3750
In  0.3750  0.3750  0.3750
Ru  0.0000  0.0000  0.0000
Pt  0.7500  0.7500  0.7500


4.
Here is a relaxed structure of InRuPt2 from Alexandria. Energies are from PBE-GGA.

* E_tot: -0.450 Ry per atom

Lattice parameters (Å, degrees): 4.8962 4.8962 2.8681 90.00 90.00 109.76
Each line ends with the local moment (μB).
Fractional coordinates of all 4 atoms:
In  0.0000  0.5000  0.5000  0.00
Pt  0.0000  0.0000  0.0000  0.02
Pt  0.5000  0.5000  0.0000  0.02
Ru  0.5000  0.0000  0.5000  0.26


E_tot of number 1 (ZrInPtRh)?
-0.510 Ry per atom


Which formula does entry 1 have?
ZrInPtRh


Which of these has the highest E_tot?
In4RuPt